Record 1
The following is a PBE-GGA calculation of ThGa4Tc after structural relaxation, from Alexandria.

Properties
DFT formation energy, meV per atom: -413
Space group: Pmma, No. 51

abc: 4.2311 7.0675 7.6933
angles: 90.00 90.00 90.00
Closest atoms and distances in Å follow each position.
Positions (direct):
Ga  0.5000  0.6782  0.4345  2 Tc 2.66, 3 Ga 2.71-2.89
Ga  0.0000  0.0000  0.5000  2 Tc 2.43
Ga  0.5000  0.6782  0.0655  2 Tc 2.66, 3 Ga 2.71-2.89
Ga  0.5000  0.3218  0.9345  2 Tc 2.66, 3 Ga 2.71-2.89
Ga  0.5000  0.9653  0.7500  2 Tc 2.74, 6 Ga 2.87-2.89
Ga  0.0000  0.0000  0.0000  2 Tc 2.43
Ga  0.5000  0.0347  0.2500  2 Tc 2.74, 6 Ga 2.87-2.89
Ga  0.5000  0.3218  0.5655  2 Tc 2.66, 3 Ga 2.71-2.89
Th  0.0000  0.3668  0.2500  1 Tc 2.98, 8 Ga 3.16-3.24
Th  0.0000  0.6332  0.7500  1 Tc 2.98, 8 Ga 3.16-3.24
Tc  0.0000  0.2113  0.7500  6 Ga 2.43-2.66
Tc  0.0000  0.7887  0.2500  6 Ga 2.43-2.66

---

Record 2
The following is a PBE-GGA calculation of NbTcW3 after structural relaxation, from Alexandria.

Properties
Distance to the lowest polymorph of the same formula, meV per atom: 1822
DFT formation energy, meV per atom: 1799
Space group: Pm-3m, No. 221

abc: 4.6685 4.6685 4.6685
angles: 90.00 90.00 90.00
Closest atoms and distances in Å follow each position.
Positions (direct):
Tc  0.0000  0.0000  0.0000  6 W 2.33
W  0.0000  0.5000  0.0000  2 Tc 2.33
W  0.0000  0.0000  0.5000  2 Tc 2.33
W  0.5000  0.0000  0.0000  2 Tc 2.33
Nb  0.5000  0.5000  0.5000  12 W 3.30

---

Record 3
The following is a PBE-GGA calculation of Li2CoTePd after structural relaxation, from Alexandria.

Properties
Space group: P4/mmm, No. 123
Formation energy from raw total energies, meV/atom: 231

abc: 4.4778 4.6746 4.4778
angles: 90.00 90.00 90.00
Closest atoms and distances in Å follow each position.
Positions (direct):
Li  0.5000  0.0000  0.0000  2 Co 2.24
Li  0.0000  0.0000  0.5000  2 Co 2.24
Co  0.0000  0.0000  0.0000  4 Li 2.24, 2 Pd 2.34
Pd  0.0000  0.5000  0.0000  2 Co 2.34
Te  0.5000  0.5000  0.5000  4 Pd 3.17, 8 Li 3.24

---

Record 4
The following is a PBE-GGA calculation of BaSr2Si2 after structural relaxation, from Alexandria.

Properties
Distance to the lowest polymorph of the same formula, meV per atom: 0
Space group: P4/mbm, No. 127
Formation energy from raw total energies, meV/atom: -287

abc: 8.2305 8.2305 4.9145
angles: 90.00 90.00 90.00
Closest atoms and distances in Å follow each position.
Positions (direct):
Si  0.3971  0.8971  0.0000  1 Si 2.39
Si  0.6029  0.1029  0.0000  1 Si 2.39
Si  0.1029  0.3971  0.0000  1 Si 2.39
Si  0.8971  0.6029  0.0000  1 Si 2.39
Sr  0.3320  0.1680  0.5000  6 Si 3.36-3.63
Sr  0.8320  0.3320  0.5000  6 Si 3.36-3.63
Sr  0.6680  0.8320  0.5000  6 Si 3.36-3.63
Sr  0.1680  0.6680  0.5000  6 Si 3.36-3.63
Ba  0.5000  0.5000  0.0000  4 Si 3.38
Ba  0.0000  0.0000  0.0000  4 Si 3.38

---

Record 5
The following is a PBE-GGA calculation of ErSc2Ti after structural relaxation, from Alexandria.

Properties
Distance to the lowest polymorph of the same formula, meV per atom: 0
DFT formation energy, meV per atom: 130
Space group: R3m, No. 160

abc: 3.2511 3.2511 10.5688
angles: 81.15 81.15 60.00
Closest atoms and distances in Å follow each position.
Positions (direct):
Ti  0.6661  0.6661  0.0018  6 Sc 3.00-3.03, 6 Ti 3.25
Sc  0.2576  0.2576  0.2273  3 Ti 3.00, 6 Sc 3.25
Sc  0.0757  0.0757  0.7730  3 Ti 3.03, 6 Sc 3.25
Er  0.5007  0.5007  0.4979  6 Er 3.25, 6 Sc 3.38-3.42

---

Record 6
The following is a PBE-GGA calculation of AlPPdCl2 after structural relaxation, from Alexandria.

Properties
Distance to the lowest polymorph of the same formula, meV per atom: 0
Space group: P4/mmm, No. 123
Formation energy from raw total energies, meV/atom: 65

abc: 4.5245 4.5245 5.0309
angles: 90.00 90.00 90.00
Closest atoms and distances in Å follow each position.
Positions (direct):
Cl  0.0000  0.5000  0.0000  2 Al 2.26
Cl  0.5000  0.0000  0.0000  2 Al 2.26
Al  0.0000  0.0000  0.0000  4 Cl 2.26, 2 P 2.52
P  0.0000  0.0000  0.5000  2 Al 2.52
Pd  0.5000  0.5000  0.5000  4 P 3.20, 8 Cl 3.38